No. 1
Density functional theory data (PBE-GGA) for Cr2MoPb after structural relaxation.

Results
* magnetization: 0.00 μB per formula unit
* raw total energy: -31.0 eV per cell
* DOS at the Fermi energy: 4.695 states/eV/f.u.

Structure (POSCAR):
```
Cr2MoPb
1.0
4.816 0.009 -0.001
3.788 2.974 -0.001
1.267 0.439 4.619
Cr Mo Pb
2 1 1
Direct
0.018 0.018 0.923
0.482 0.482 0.577
0.750 0.750 0.750
0.250 0.250 0.250
```

No. 2
Density functional theory data (PBE-GGA) for AlTlCu2 after structural relaxation.

Results
* magnetization: 0.00 μB per formula unit
* relative energy among the computed polymorphs: 141 meV per atom
* DOS at the Fermi energy: 1.552 states/eV/f.u.

Structure (POSCAR):
```
AlTlCu2
1.0
-0.873 -4.876 0.840
2.803 -2.942 -2.954
1.061 3.882 3.007
Tl Al Cu
1 1 2
Direct
0.500 0.500 0.000
0.750 0.250 0.500
0.000 0.000 0.000
0.250 0.750 0.500
```

No. 3
Density functional theory data (PBE-GGA) for MgNi3B2 after structural relaxation.

Results
* magnetization: 0.00 μB per formula unit
* raw total energy: -68.0 eV per cell
* DOS at the Fermi energy: 2.922 states/eV/f.u.

Structure (POSCAR):
```
MgNi3B2
1.0
-4.326 -1.878 -0.432
1.268 -1.940 -4.261
1.116 -3.661 4.749
Mg Ni B
2 6 4
Direct
0.250 0.087 0.674
0.750 0.913 0.326
0.750 0.519 0.537
0.750 0.457 0.922
0.250 0.481 0.463
0.750 0.966 0.921
0.250 0.034 0.079
0.250 0.543 0.078
0.567 0.350 0.202
0.933 0.350 0.202
0.067 0.650 0.798
0.433 0.650 0.798
```

No. 4
Density functional theory data (PBE-GGA) for HoPaBi6 after structural relaxation.

Results
* magnetization: 0.00 μB per formula unit
* raw total energy: -38.8 eV per cell
* DOS at the Fermi energy: 5.853 states/eV/f.u.

Structure (POSCAR):
```
HoPaBi6
1.0
-0.946 3.318 -2.807
-3.899 0.760 2.212
6.357 6.439 8.992
Ho Pa Bi
1 1 6
Direct
0.823 0.000 0.646
0.173 0.500 0.346
0.573 0.500 0.146
0.419 0.000 0.837
0.301 0.500 0.601
0.694 0.000 0.388
0.947 0.500 0.894
0.071 0.000 0.142
```

No. 5
Density functional theory data (PBE-GGA) for CeAlS after structural relaxation.

Results
* magnetization: 0.80 μB per formula unit
* formation energy (no corrections): -1102.4 meV per atom
* DOS at the Fermi energy: 5.930 states/eV/f.u.

Structure (POSCAR):
```
CeAlS
1.0
-2.728 -2.740 0.894
2.691 -1.981 2.141
-2.172 4.376 6.781
Al Ce S
2 2 2
Direct
0.000 0.500 0.543
0.500 0.000 0.457
0.000 0.500 0.175
0.500 0.000 0.825
0.500 0.000 0.170
0.000 0.500 0.830
```

No. 6
Density functional theory data (PBE-GGA) for DyTm3Sc8 after structural relaxation.

Results
* magnetization: 0.00 μB per formula unit
* raw total energy: -65.0 eV per cell
* DOS at the Fermi energy: 23.480 states/eV/f.u.

Structure (POSCAR):
```
DyTm3Sc8
1.0
6.625 0.631 -4.693
-2.683 7.578 -1.299
-1.688 -0.631 7.941
Dy Tm Sc
1 3 8
Direct
0.000 0.000 0.000
0.500 0.747 0.247
0.500 0.253 0.753
0.000 0.500 0.500
0.501 0.252 0.249
0.499 0.748 0.751
0.997 0.748 0.249
0.003 0.252 0.751
0.175 0.425 0.250
0.825 0.075 0.250
0.825 0.575 0.750
0.175 0.925 0.750
```

No. 7
Density functional theory data (PBE-GGA) for CdH2Se2 after structural relaxation.

Results
* magnetization: 0.00 μB per formula unit
* relative energy among the computed polymorphs: 0 meV per atom
* DOS at the Fermi energy: 0.000 states/eV/f.u.

Structure (POSCAR):
```
CdH2Se2
1.0
3.886 0.299 1.279
1.927 3.779 1.545
-0.235 -1.543 6.960
Cd H Se
1 2 2
Direct
0.000 0.000 0.000
0.696 0.945 0.662
0.304 0.055 0.338
0.337 0.292 0.759
0.663 0.708 0.241
```

No. 8
Density functional theory data (PBE-GGA) for Pm5InGe4 after structural relaxation.

Results
* magnetization: 0.00 μB per formula unit
* raw total energy: -51.0 eV per cell
* DOS at the Fermi energy: 8.706 states/eV/f.u.

Structure (POSCAR):
```
Pm5InGe4
1.0
-0.913 3.234 0.778
-2.993 -1.150 1.269
8.872 -2.074 19.044
Pm In Ge
5 1 4
Direct
0.500 0.500 0.115
0.500 0.500 0.306
0.500 0.500 0.500
0.500 0.500 0.694
0.500 0.500 0.885
0.000 0.000 0.000
0.000 0.000 0.208
0.000 0.000 0.403
0.000 0.000 0.597
0.000 0.000 0.792
```